(1)
# CePm2PrN4 GGA-PBE relaxed
# - DOS(E_F) (states/eV/f.u.) = 3.23
# - formation energy from raw total energies (eV/atom) = -1.430
# - M_tot (Bohr magnetons per cell) = 0.0
# - calculated density (g cm⁻³) = 7.78
# - energy (eV per atom) = -8.12
data_CePm2PrN4
_chemical_formula_sum 'Ce1 Pm2 Pr1 N4'
_cell_length_a 6.252
_cell_length_b 3.621
_cell_length_c 6.261
_cell_angle_alpha 90.00
_cell_angle_beta 109.33
_cell_angle_gamma 90.00
_symmetry_space_group_name_H-M 'P 1 2/m 1'
_symmetry_Int_Tables_number 10
loop_
_symmetry_equiv_pos_as_xyz
'x,y,z'
'-x,-y,-z'
'-x,y,-z'
'x,-y,z'
loop_
_atom_site_label
_atom_site_fract_x
_atom_site_fract_y
_atom_site_fract_z
Ce1 0.000 0.000 0.000
Pm1 0.500 0.000 0.500
Pm2 0.500 0.500 0.000
Pr1 0.000 0.500 0.500
N1 0.243 0.500 0.239
N2 0.247 0.000 0.760

(2)
# Ce2PmPuN4 GGA-PBE relaxed
# - DOS(E_F) (states/eV/f.u.) = 9.36
# - formation energy from raw total energies (eV/atom) = -1.421
# - M_tot (Bohr magnetons per cell) = 5.7
# - calculated density (g cm⁻³) = 9.45
# - energy (eV per atom) = -9.45
data_Ce2PmPuN4
_chemical_formula_sum 'Ce2 Pm1 Pu1 N4'
_cell_length_a 6.161
_cell_length_b 3.565
_cell_length_c 6.162
_cell_angle_alpha 90.00
_cell_angle_beta 109.63
_cell_angle_gamma 90.00
_symmetry_space_group_name_H-M 'P 1 2/m 1'
_symmetry_Int_Tables_number 10
loop_
_symmetry_equiv_pos_as_xyz
'x,y,z'
'-x,-y,-z'
'-x,y,-z'
'x,-y,z'
loop_
_atom_site_label
_atom_site_fract_x
_atom_site_fract_y
_atom_site_fract_z
Ce1 0.000 0.000 0.000
Ce2 0.500 0.500 0.000
Pm1 0.000 0.500 0.500
Pu1 0.500 0.000 0.500
N1 0.260 0.000 0.756
N2 0.260 0.500 0.255

(3)
# Ce3Pm2PuN6 GGA-PBE relaxed
# - DOS(E_F) (states/eV/f.u.) = 13.76
# - formation energy from raw total energies (eV/atom) = -1.437
# - M_tot (Bohr magnetons per cell) = 11.8
# - calculated density (g cm⁻³) = 8.94
# - energy (eV per atom) = -9.07
data_Ce3Pm2PuN6
_chemical_formula_sum 'Ce6 Pm4 Pu2 N12'
_cell_length_a 6.184
_cell_length_b 10.708
_cell_length_c 6.180
_cell_angle_alpha 90.00
_cell_angle_beta 109.51
_cell_angle_gamma 90.00
_symmetry_space_group_name_H-M 'C 1 2/m 1'
_symmetry_Int_Tables_number 12
loop_
_symmetry_equiv_pos_as_xyz
'x,y,z'
'-x,-y,-z'
'-x,y,-z'
'x,-y,z'
'x+1/2,y+1/2,z'
'-x+1/2,-y+1/2,-z'
'-x+1/2,y+1/2,-z'
'x+1/2,-y+1/2,z'
loop_
_atom_site_label
_atom_site_fract_x
_atom_site_fract_y
_atom_site_fract_z
Ce1 0.000 0.000 0.000
Ce2 0.000 0.333 0.000
Pm1 0.000 0.167 0.500
Pu1 0.000 0.500 0.500
N1 0.237 0.500 0.245
N2 0.245 0.339 0.754

(4)
# Ce3PmPu2N6 GGA-PBE relaxed
# - DOS(E_F) (states/eV/f.u.) = 13.92
# - formation energy from raw total energies (eV/atom) = -1.411
# - M_tot (Bohr magnetons per cell) = 22.0
# - calculated density (g cm⁻³) = 9.98
# - energy (eV per atom) = -9.84
data_Ce3PmPu2N6
_chemical_formula_sum 'Ce6 Pm2 Pu4 N12'
_cell_length_a 6.151
_cell_length_b 10.646
_cell_length_c 6.135
_cell_angle_alpha 90.00
_cell_angle_beta 109.56
_cell_angle_gamma 90.00
_symmetry_space_group_name_H-M 'C 1 2/m 1'
_symmetry_Int_Tables_number 12
loop_
_symmetry_equiv_pos_as_xyz
'x,y,z'
'-x,-y,-z'
'-x,y,-z'
'x,-y,z'
'x+1/2,y+1/2,z'
'-x+1/2,-y+1/2,-z'
'-x+1/2,y+1/2,-z'
'x+1/2,-y+1/2,z'
loop_
_atom_site_label
_atom_site_fract_x
_atom_site_fract_y
_atom_site_fract_z
Ce1 0.000 0.000 0.000
Ce2 0.000 0.334 0.000
Pm1 0.000 0.500 0.500
Pu1 0.000 0.167 0.500
N1 0.234 0.000 0.743
N2 0.245 0.173 0.254

(5)
# CePmPu2N4 GGA-PBE relaxed
# - DOS(E_F) (states/eV/f.u.) = 13.52
# - formation energy from raw total energies (eV/atom) = -1.370
# - M_tot (Bohr magnetons per cell) = 9.9
# - calculated density (g cm⁻³) = 11.07
# - energy (eV per atom) = -10.45
data_CePmPu2N4
_chemical_formula_sum 'Ce1 Pm1 Pu2 N4'
_cell_length_a 6.098
_cell_length_b 3.535
_cell_length_c 6.128
_cell_angle_alpha 90.00
_cell_angle_beta 109.60
_cell_angle_gamma 90.00
_symmetry_space_group_name_H-M 'P 1 2/m 1'
_symmetry_Int_Tables_number 10
loop_
_symmetry_equiv_pos_as_xyz
'x,y,z'
'-x,-y,-z'
'-x,y,-z'
'x,-y,z'
loop_
_atom_site_label
_atom_site_fract_x
_atom_site_fract_y
_atom_site_fract_z
Ce1 0.000 0.000 0.000
Pm1 0.000 0.500 0.500
Pu1 0.500 0.000 0.500
Pu2 0.500 0.500 0.000
N1 0.265 0.500 0.252
N2 0.271 0.000 0.760

(6)
# CePmReN4 GGA-PBE relaxed
# - DOS(E_F) (states/eV/f.u.) = 3.56
# - formation energy from raw total energies (eV/atom) = -0.978
# - M_tot (Bohr magnetons per cell) = 0.0
# - calculated density (g cm⁻³) = 9.29
# - energy (eV per atom) = -9.04
data_CePmReN4
_chemical_formula_sum 'Ce4 Pm4 Re4 N16'
_cell_length_a 5.465
_cell_length_b 12.551
_cell_length_c 5.498
_cell_angle_alpha 90.00
_cell_angle_beta 90.00
_cell_angle_gamma 90.00
_symmetry_space_group_name_H-M 'C m c m'
_symmetry_Int_Tables_number 63
_symmetry_space_group_name_Hall '-C 2c 2'
loop_
_atom_site_label
_atom_site_fract_x
_atom_site_fract_y
_atom_site_fract_z
Ce1 0.000 0.101 0.250
Pm1 0.000 0.397 0.250
Re1 0.000 0.256 0.750
N1 0.000 0.073 0.750
N2 0.000 0.419 0.750
N3 0.250 0.250 0.000